Entry 1:
The following is a PBE calculation of an optimized crystal structure of Sc2BeSnC, from Alexandria.

CIF file:
```
data_Sc2BeSnC
_chemical_formula_sum 'Sc2 Be1 Sn1 C1'
_space_group_name_H-M_alt 'P 4/m m m'
_space_group_IT_number 123
_space_group_name_Hall '-P 4 2'
_cell_length_a 4.718
_cell_length_b 4.718
_cell_length_c 3.599
_cell_angle_alpha 90.00
_cell_angle_beta 90.00
_cell_angle_gamma 90.00
loop_
_atom_site_label
_atom_site_fract_x
_atom_site_fract_y
_atom_site_fract_z
Sc1 0.000 0.500 0.000
Be1 0.000 0.000 0.500
Sn1 0.500 0.500 0.500
C1 0.000 0.000 0.000
```

Calculated values
energy relative to the elements	-0.48	eV per atom
crystal system	tetragonal
spin magnetization	0.000	μB/atom


Entry 2:
The following is a PBE calculation of an optimized crystal structure of BeNi2Os, from Alexandria.

CIF file:
```
data_BeNi2Os
_chemical_formula_sum 'Be4 Ni8 Os4'
_space_group_name_H-M_alt 'I -4 2 d'
_space_group_IT_number 122
_space_group_name_Hall 'I -4 2bw'
_cell_length_a 3.320
_cell_length_b 3.320
_cell_length_c 17.020
_cell_angle_alpha 90.00
_cell_angle_beta 90.00
_cell_angle_gamma 90.00
loop_
_atom_site_label
_atom_site_fract_x
_atom_site_fract_y
_atom_site_fract_z
Be1 0.000 0.000 0.000
Ni1 0.241 0.250 0.125
Os1 0.000 0.000 0.500
```

Calculated values
energy relative to the elements	0.36	eV per atom
crystal system	tetragonal
spin magnetization	0.000	μB/atom


Entry 3:
The following is a PBE calculation of an optimized crystal structure of Y2Cu2Ru, from Alexandria.

CIF file:
```
data_Y2Cu2Ru
_chemical_formula_sum 'Y4 Cu4 Ru2'
_space_group_name_H-M_alt 'P 4/m b m'
_space_group_IT_number 127
_space_group_name_Hall '-P 4 2ab'
_cell_length_a 7.000
_cell_length_b 7.000
_cell_length_c 3.934
_cell_angle_alpha 90.00
_cell_angle_beta 90.00
_cell_angle_gamma 90.00
loop_
_atom_site_label
_atom_site_fract_x
_atom_site_fract_y
_atom_site_fract_z
Y1 0.188 0.312 0.000
Cu1 0.121 0.621 0.500
Ru1 0.000 0.000 0.500
```

Calculated values
energy relative to the elements	-0.12	eV per atom
crystal system	tetragonal
spin magnetization	0.000	μB/atom
distance to the lowest polymorph of the same formula	0.888	kcal/mol of atoms


Entry 4:
The following is a PBE calculation of an optimized crystal structure of MgRe2Ag, from Alexandria.

CIF file:
```
data_MgRe2Ag
_chemical_formula_sum 'Mg1 Re2 Ag1'
_space_group_name_H-M_alt 'P 4/m m m'
_space_group_IT_number 123
_space_group_name_Hall '-P 4 2'
_cell_length_a 3.730
_cell_length_b 3.730
_cell_length_c 4.623
_cell_angle_alpha 90.00
_cell_angle_beta 90.00
_cell_angle_gamma 90.00
loop_
_atom_site_label
_atom_site_fract_x
_atom_site_fract_y
_atom_site_fract_z
Mg1 0.000 0.000 0.000
Re1 0.000 0.500 0.500
Ag1 0.500 0.500 0.000
```

Calculated values
energy relative to the elements	0.49	eV per atom
crystal system	tetragonal
spin magnetization	0.000	μB/atom


Entry 5:
The following is a PBE calculation of an optimized crystal structure of Sc2Be2PdPt5, from Alexandria.

CIF file:
```
data_Sc2Be2PdPt5
_chemical_formula_sum 'Sc4 Be4 Pd2 Pt10'
_space_group_name_H-M_alt 'P 4/m b m'
_space_group_IT_number 127
_space_group_name_Hall '-P 4 2ab'
_cell_length_a 9.223
_cell_length_b 9.223
_cell_length_c 3.525
_cell_angle_alpha 90.00
_cell_angle_beta 90.00
_cell_angle_gamma 90.00
loop_
_atom_site_label
_atom_site_fract_x
_atom_site_fract_y
_atom_site_fract_z
Sc1 0.179 0.321 0.000
Be1 0.121 0.621 0.000
Pd1 0.000 0.000 0.000
Pt1 0.000 0.500 0.500
Pt2 0.072 0.787 0.500
```

Calculated values
energy relative to the elements	-0.90	eV per atom
crystal system	tetragonal
spin magnetization	0.000	μB/atom


Entry 6:
The following is a PBE calculation of an optimized crystal structure of La2Nd4Ge3Cl2, from Alexandria.

CIF file:
```
data_La2Nd4Ge3Cl2
_chemical_formula_sum 'La4 Nd8 Ge6 Cl4'
_space_group_name_H-M_alt 'I 4/m m m'
_space_group_IT_number 139
_space_group_name_Hall '-I 4 2'
_cell_length_a 5.264
_cell_length_b 5.264
_cell_length_c 23.186
_cell_angle_alpha 90.00
_cell_angle_beta 90.00
_cell_angle_gamma 90.00
loop_
_atom_site_label
_atom_site_fract_x
_atom_site_fract_y
_atom_site_fract_z
La1 0.000 0.000 0.203
Nd1 0.000 0.500 0.089
Ge1 0.000 0.000 0.335
Ge2 0.000 0.000 0.500
Cl1 0.000 0.000 0.067
```

Calculated values
crystal system	tetragonal
spin magnetization	0.000	μB/atom
formation energy without anion corrections	-783	meV per atom


Entry 7:
The following is a PBE calculation of an optimized crystal structure of BaTa2In, from Alexandria.

CIF file:
```
data_BaTa2In
_chemical_formula_sum 'Ba1 Ta2 In1'
_space_group_name_H-M_alt 'P m m 2'
_space_group_IT_number 25
_space_group_name_Hall 'P 2 -2'
_cell_length_a 3.143
_cell_length_b 3.884
_cell_length_c 8.486
_cell_angle_alpha 90.00
_cell_angle_beta 90.00
_cell_angle_gamma 90.00
loop_
_atom_site_label
_atom_site_fract_x
_atom_site_fract_y
_atom_site_fract_z
Ba1 0.000 0.000 0.000
Ta1 0.000 0.000 0.520
Ta2 0.500 0.500 0.678
In1 0.500 0.500 0.312
```

Calculated values
energy relative to the elements	0.38	eV per atom
crystal system	orthorhombic
spin magnetization	0.000	μB/atom
distance to the lowest polymorph of the same formula	0.000	kcal/mol of atoms


Entry 8:
The following is a PBE calculation of an optimized crystal structure of LaMgSi2Rh, from Alexandria.

CIF file:
```
data_LaMgSi2Rh
_chemical_formula_sum 'La2 Mg2 Si4 Rh2'
_space_group_name_H-M_alt 'I -4 m 2'
_space_group_IT_number 119
_space_group_name_Hall 'I -4 -2'
_cell_length_a 4.167
_cell_length_b 4.167
_cell_length_c 10.916
_cell_angle_alpha 90.00
_cell_angle_beta 90.00
_cell_angle_gamma 90.00
loop_
_atom_site_label
_atom_site_fract_x
_atom_site_fract_y
_atom_site_fract_z
La1 0.000 0.000 0.000
Mg1 0.000 0.500 0.750
Si1 0.000 0.000 0.389
Rh1 0.000 0.500 0.250
```

Calculated values
crystal system	tetragonal
spin magnetization	0.000	μB/atom
formation energy without anion corrections	-751	meV per atom


> Which formula does entry 5 have?

Sc2Be2PdPt5